# 1
A plane-wave DFT calculation with PBE-GGA was carried out for a geometry-optimized K2SeI structure.

## Properties
volume: 144.1 Å³/cell
energy above the most stable polymorph in this dataset: 0 meV per atom
space group: Fm-3m (225)
crystal system: cubic
energy relative to the elements, uncorrected: -0.92 eV/atom

a b c (Å): 5.885 5.885 5.885
angles (deg): 60.00 60.00 60.00
Fractional positions:
K (0.250, 0.250, 0.250)
K (0.750, 0.750, 0.750)
Se (0.000, 0.000, 0.000)
I (0.500, 0.500, 0.500)



# 2
A plane-wave DFT calculation with PBE-GGA was carried out for a geometry-optimized CaPmGa structure.

## Properties
volume: 163.8 Å³/cell
energy above the most stable polymorph in this dataset: 0 meV per atom
formation energy from the elements: -0.424 eV/atom
space group: P6_3/mmc (194)
crystal system: hexagonal

a b c (Å): 5.282 5.282 6.776
angles (deg): 90.00 90.00 120.00
Fractional positions:
Ca (0.000, 0.000, 0.000)
Ca (0.000, 0.000, 0.500)
Pm (0.333, 0.667, 0.250)
Pm (0.667, 0.333, 0.750)
Ga (0.333, 0.667, 0.750)
Ga (0.667, 0.333, 0.250)



# 3
A plane-wave DFT calculation with PBE-GGA was carried out for a geometry-optimized Pr2AlSiRh6 structure.

## Properties
volume: 187.2 Å³/cell
space group: Immm (71)
crystal system: orthorhombic
energy relative to the elements, uncorrected: -0.53 eV/atom

a b c (Å): 6.421 6.421 6.421
angles (deg): 120.09 119.90 90.00
Fractional positions:
Pr (0.250, 0.250, 0.000)
Pr (0.750, 0.750, 0.000)
Al (0.500, 0.000, 0.500)
Si (0.000, 0.500, 0.500)
Rh (0.246, 0.254, 0.500)
Rh (0.246, 0.746, 0.500)
Rh (0.246, 0.746, 0.992)
Rh (0.754, 0.254, 0.008)
Rh (0.754, 0.254, 0.500)
Rh (0.754, 0.746, 0.500)



# 4
A plane-wave DFT calculation with PBE-GGA was carried out for a geometry-optimized Ho9Tl2In structure.

## Properties
volume: 337.4 Å³/cell
formation energy from the elements: -0.203 eV/atom
space group: P4/mmm (123)
crystal system: tetragonal

a b c (Å): 4.826 4.826 14.483
angles (deg): 90.00 90.00 90.00
Fractional positions:
Ho (0.000, 0.000, 0.000)
Ho (0.000, 0.000, 0.333)
Ho (0.000, 0.000, 0.667)
Ho (0.000, 0.500, 0.166)
Ho (0.000, 0.500, 0.500)
Ho (0.000, 0.500, 0.834)
Ho (0.500, 0.000, 0.166)
Ho (0.500, 0.000, 0.500)
Ho (0.500, 0.000, 0.834)
Tl (0.500, 0.500, 0.333)
Tl (0.500, 0.500, 0.667)
In (0.500, 0.500, 0.000)



Number 1: magnetic moment 1.00 μB/f.u.. Number 2: magnetic moment 0.00 μB/f.u.. Number 3: magnetic moment 0.00 μB/f.u.. Number 4: magnetic moment 0.91 μB/f.u..